# CsWF6 PBE with a Hubbard U relaxed
data_CsWF6
_cell_length_a 5.8526
_cell_length_b 5.8526
_cell_length_c 16.4680
_cell_angle_alpha 90.00
_cell_angle_beta 90.00
_cell_angle_gamma 120.00
_symmetry_space_group_name_H-M 'R -3 m'
_symmetry_Int_Tables_number 166
_symmetry_space_group_name_Hall '-R 3 2"'
loop_
_atom_site_label
_atom_site_type_symbol
_atom_site_fract_x
_atom_site_fract_y
_atom_site_fract_z
Cs1 Cs 0.0000 0.0000 0.0000
W1 W 0.0000 0.0000 0.5000
F1 F 0.0241 0.5120 0.0970
# energy: -5.138 eV per atom